DFT (GGA-PBE) results for a relaxed CaHgCl4 crystal.

a = 6.5161 Å, b = 4.0551 Å, c = 6.9729 Å
α = 90.00°, β = 90.23°, γ = 90.00°
Last column: nearest neighbours and their distance in Å.
Space group P2/m (No. 10)
Unique sites:
Ca  0.0000  0.0000  0.0000 x1  6 Cl 2.75-2.78
Hg  0.0000  0.5000  0.5000 x1  6 Cl 2.73-2.75
Cl  0.2228  0.0000  0.6603 x2  2 Hg 2.73, 1 Ca 2.78
Cl  0.2244  0.5000  0.1665 x2  1 Hg 2.75, 2 Ca 2.75

Energy relative to the lowest polymorph listed for this composition (eV per atom): 0.001
Uncorrected formation energy (eV/atom): -1.461